The following is a PBE calculation of crystalline Tm6IrAu5 at its relaxed geometry, from the Alexandria database.

The energy relative to the elements comes out at -0.896 eV/atom. As for the total magnetization: 0.000 μB/f.u.

It has space group P2/m (No. 10), with a = 4.9713 Å, b = 7.0530 Å, c = 7.8936 Å, α = 90.00°, β = 108.30° and γ = 90.00°. The inequivalent atoms are Tm at (0.0000, 0.2396, 0.0000), Tm at (0.3382, 0.2457, 0.6765), Ir at (0.5000, 0.0000, 0.0000), Au at (0.1667, 0.5000, 0.3333), Au at (0.1707, 0.0000, 0.3403) and Au at (0.5000, 0.5000, 0.0000).

The following is a PBE calculation of crystalline Tm5IrAu2 at its relaxed geometry, from the Alexandria database.

The energy relative to the elements comes out at -0.767 eV/atom. As for the total magnetization: 0.000 μB/f.u.

It has space group Pbam (No. 55), with a = 7.0667 Å, b = 11.6241 Å, c = 4.7180 Å, α = 90.00°, β = 90.00° and γ = 90.00°. The inequivalent atoms are Tm at (0.0000, 0.0000, 0.0000), Tm at (0.1526, 0.2909, 0.0000), Tm at (0.1773, 0.5873, 0.5000), Ir at (0.0000, 0.5000, 0.0000) and Au at (0.0708, 0.8386, 0.5000).

The following is a PBE calculation of crystalline Tm8IrAu2 at its relaxed geometry, from the Alexandria database.

The energy relative to the elements comes out at -0.474 eV/atom. Its energy above the most stable polymorph in this dataset is 73.7 meV/atom. As for the total magnetization: 0.000 μB/f.u.

It has space group Cm (No. 8), with a = 6.8397 Å, b = 17.6425 Å, c = 5.4869 Å, α = 90.00°, β = 118.14° and γ = 90.00°. The inequivalent atoms are Tm at (0.0000, 0.0000, 0.0000), Tm at (0.0091, 0.5000, 0.1963), Tm at (0.0527, 0.3843, 0.7365), Tm at (0.2547, 0.1981, 0.0980), Tm at (0.4548, 0.3840, 0.4587), Ir at (0.2532, 0.0000, 0.5993) and Au at (0.2537, 0.2539, 0.5975).

The following is a PBE calculation of crystalline Tm8Ir2Au at its relaxed geometry, from the Alexandria database.

The energy relative to the elements comes out at -0.569 eV/atom. Its energy above the most stable polymorph in this dataset is 0.0 meV/atom. As for the total magnetization: 0.001 μB/f.u.

It has space group C2/m (No. 12), with a = 17.3186 Å, b = 4.8329 Å, c = 6.8901 Å, α = 90.00°, β = 107.64° and γ = 90.00°. The inequivalent atoms are Tm at (0.0335, 0.0000, 0.2771), Tm at (0.0969, 0.5000, 0.9681), Tm at (0.1715, 0.5000, 0.4633), Tm at (0.2040, 0.0000, 0.8158), Ir at (0.1869, 0.0000, 0.2047) and Au at (0.0000, 0.5000, 0.5000).

The following is a PBE calculation of crystalline Tm2IrAu at its relaxed geometry, from the Alexandria database.

The energy relative to the elements comes out at -0.898 eV/atom. As for the total magnetization: 0.000 μB/f.u.

It has space group P4/mmm (No. 123), with a = 3.4692 Å, b = 3.4692 Å, c = 6.9685 Å, α = 90.00°, β = 90.00° and γ = 90.00°. The inequivalent atoms are Tm at (0.0000, 0.0000, 0.2330), Ir at (0.5000, 0.5000, 0.0000) and Au at (0.5000, 0.5000, 0.5000).

The following is a PBE calculation of crystalline Tm7Ir2Au2 at its relaxed geometry, from the Alexandria database.

The energy relative to the elements comes out at -0.744 eV/atom. Its energy above the most stable polymorph in this dataset is 0.0 meV/atom. As for the total magnetization: 0.000 μB/f.u.

It has space group Imm2 (No. 44), with a = 3.8237 Å, b = 15.3731 Å, c = 9.2261 Å, α = 90.00°, β = 90.00° and γ = 90.00°. The inequivalent atoms are Tm at (0.0000, 0.0000, 0.0000), Tm at (0.0000, 0.1189, 0.4189), Tm at (0.0000, 0.3142, 0.6197), Tm at (0.0000, 0.3566, 0.2571), Ir at (0.0000, 0.2457, 0.9179), Au at (0.0000, 0.0000, 0.6770) and Au at (0.0000, 0.5000, 0.7462).

The following is a PBE calculation of crystalline Tm7Ir2Au2 at its relaxed geometry, from the Alexandria database.

The energy relative to the elements comes out at -0.609 eV/atom. Its energy above the most stable polymorph in this dataset is 134.2 meV/atom. As for the total magnetization: 0.000 μB/f.u.

It has space group Cmmm (No. 65), with a = 8.0975 Å, b = 10.4496 Å, c = 6.9279 Å, α = 90.00°, β = 90.00° and γ = 90.00°. The inequivalent atoms are Tm at (0.0000, 0.0000, 0.0000), Tm at (0.0000, 0.5000, 0.2487), Tm at (0.2500, 0.2500, 0.2549), Ir at (0.0000, 0.2835, 0.0000) and Au at (0.2069, 0.0000, 0.5000).

The following is a PBE calculation of crystalline Tm2IrAu at its relaxed geometry, from the Alexandria database.

The energy relative to the elements comes out at -0.745 eV/atom. As for the total magnetization: 0.000 μB/f.u.

It has space group R-3m (No. 166, hexagonal axes), with a = 4.0186 Å, b = 4.0186 Å, c = 20.4695 Å, α = 90.00°, β = 90.00° and γ = 120.00°. The inequivalent atoms are Tm at (0.0000, 0.0000, 0.2395), Ir at (0.0000, 0.0000, 0.5000) and Au at (0.0000, 0.0000, 0.0000).

The following is a PBE calculation of crystalline Tm6IrAu3 at its relaxed geometry, from the Alexandria database.

The energy relative to the elements comes out at -0.695 eV/atom. As for the total magnetization: 0.000 μB/f.u.

It has space group P2_1/c (No. 14), with a = 6.7066 Å, b = 7.7057 Å, c = 12.1235 Å, α = 90.00°, β = 122.97° and γ = 90.00°. The inequivalent atoms are Tm at (0.0799, 0.0490, 0.2425), Tm at (0.2195, 0.6894, 0.0699), Tm at (0.4096, 0.1654, 0.0731), Ir at (0.0000, 0.0000, 0.0000), Au at (0.3029, 0.1155, 0.7440) and Au at (0.5000, 0.0000, 0.5000).

The following is a PBE calculation of crystalline Tm5Ir2Au at its relaxed geometry, from the Alexandria database.

The energy relative to the elements comes out at -0.832 eV/atom. As for the total magnetization: 0.000 μB/f.u.

It has space group I4/mcm (No. 140), with a = 7.5551 Å, b = 7.5551 Å, c = 13.2147 Å, α = 90.00°, β = 90.00° and γ = 90.00°. The inequivalent atoms are Tm at (0.0000, 0.0000, 0.0000), Tm at (0.1617, 0.3383, 0.1380), Ir at (0.1391, 0.3609, 0.5000) and Au at (0.0000, 0.0000, 0.2500).

The following is a PBE calculation of crystalline Tm4IrAu at its relaxed geometry, from the Alexandria database.

The energy relative to the elements comes out at -0.592 eV/atom. Its energy above the most stable polymorph in this dataset is 78.2 meV/atom. As for the total magnetization: 0.000 μB/f.u.

It has space group P2_1/c (No. 14), with a = 6.9815 Å, b = 6.8433 Å, c = 6.8666 Å, α = 90.00°, β = 92.63° and γ = 90.00°. The inequivalent atoms are Tm at (0.1536, 0.1634, 0.1783), Tm at (0.3246, 0.6592, 0.1492), Ir at (0.0000, 0.0000, 0.5000) and Au at (0.5000, 0.0000, 0.0000).

The following is a PBE calculation of crystalline Tm4IrAu at its relaxed geometry, from the Alexandria database.

The energy relative to the elements comes out at -0.670 eV/atom. Its energy above the most stable polymorph in this dataset is 0.0 meV/atom. As for the total magnetization: 0.000 μB/f.u.

It has space group Pnma (No. 62), with a = 8.2361 Å, b = 4.6819 Å, c = 15.5479 Å, α = 90.00°, β = 90.00° and γ = 90.00°. The inequivalent atoms are Tm at (0.0301, 0.2500, 0.0801), Tm at (0.0889, 0.2500, 0.7736), Tm at (0.1327, 0.2500, 0.3363), Tm at (0.1499, 0.2500, 0.5655), Ir at (0.1922, 0.7500, 0.6822) and Au at (0.2401, 0.7500, 0.4395).